The following is a DFT calculation (PBE+U) of an optimized crystal structure of K2BiMoO6.

- D(E_F): 0.715 states/eV per cell
- Crystal system: tetragonal
- E_tot: -58.28 eV/cell
- Total magnetization: 0.00 Bohr magnetons per cell

Cell and atoms, written as POSCAR:
```
K2BiMoO6
1.0
4.346 0.000 0.000
0.000 5.898 0.000
0.000 0.000 5.898
K Bi Mo O
2 1 1 6
Cartesian
0.532 2.949 0.000 K
0.532 0.000 2.949 K
2.810 2.949 2.949 Bi
2.553 0.000 0.000 Mo
2.872 1.342 1.342 O
2.872 1.342 4.556 O
0.641 2.949 2.949 O
0.769 0.000 0.000 O
2.872 4.556 4.556 O
2.872 4.556 1.342 O
```